Entry from Alexandria: a relaxed structure of Hg2SeBr (PBE-GGA).

Properties
As for the uncorrected formation energy: -166 meV per atom. As for the distance to the lowest polymorph of the same formula: 2.031 kcal/mol of atoms. The total magnetization comes out at 0.0 μB per cell.

Cell lengths 7.331, 7.331, 7.331 Å; angles 33.77, 33.77, 33.77 degrees
Element x y z (fractional)
Hg 0.989 0.989 0.989
Hg 0.511 0.511 0.511
Br 0.750 0.750 0.750
Se 0.250 0.250 0.250


Entry from Alexandria: a relaxed structure of Zr2PaSi (PBE-GGA).

Properties
As for the uncorrected formation energy: -90 meV per atom. The total magnetization comes out at 0.0 μB per cell.

Cell lengths 3.496, 3.496, 8.695 Å; angles 78.40, 78.40, 60.00 degrees
Element x y z (fractional)
Zr 0.265 0.265 0.205
Zr 0.735 0.735 0.795
Pa 0.500 0.500 0.500
Si 0.000 0.000 0.000


Entry from Alexandria: a relaxed structure of LaNd2Zr (PBE-GGA).

Properties
As for the distance to the lowest polymorph of the same formula: 0.429 kcal/mol of atoms. The total magnetization comes out at 0.0 μB per cell.

Cell lengths 5.041, 5.013, 5.013 Å; angles 90.00, 90.00, 90.00 degrees
Element x y z (fractional)
La 0.500 0.500 0.500
Nd 0.000 0.500 0.000
Nd 0.000 0.000 0.500
Zr 0.500 0.000 0.000


Entry from Alexandria: a relaxed structure of FeGeSe3 (PBE-GGA).

Properties
As for the uncorrected formation energy: 301 meV per atom. The total magnetization comes out at 3.1 μB per cell.

Cell lengths 4.759, 4.759, 4.759 Å; angles 90.00, 90.00, 90.00 degrees
Each line ends with the local moment (μB).
Element x y z (fractional)
Ge 0.500 0.500 0.500  0.02
Se 0.000 0.000 0.500  0.09
Se 0.500 0.000 0.000  0.16
Se 0.000 0.500 0.000  0.10
Fe 0.000 0.000 0.000  2.46


Entry from Alexandria: a relaxed structure of LaErAgAu (PBE-GGA).

Properties
As for the distance to the lowest polymorph of the same formula: 0.998 kcal/mol of atoms. The total magnetization comes out at 0.0 μB per cell.

Cell lengths 5.234, 5.234, 5.234 Å; angles 60.00, 60.00, 60.00 degrees
Element x y z (fractional)
Ag 0.250 0.250 0.250
Er 0.000 0.000 0.000
Au 0.750 0.750 0.750
La 0.500 0.500 0.500


Entry from Alexandria: a relaxed structure of Ce7Pu2Pt2Au (PBE-GGA).

Properties
The total magnetization comes out at 13.8 μB per cell. The value obtained for the total energy is -90.19 eV per cell.

Cell lengths 5.426, 5.427, 10.559 Å; angles 104.89, 104.89, 90.00 degrees
Each line ends with the local moment (μB).
Element x y z (fractional)
Ce 0.800 0.800 0.601  0.69
Ce 0.500 0.500 0.000  -0.19
Ce 0.200 0.199 0.399  0.69
Ce 0.083 0.583 0.166  0.22
Ce 0.583 0.084 0.166  0.23
Ce 0.417 0.918 0.834  0.23
Ce 0.917 0.417 0.834  0.22
Pt 0.750 0.250 0.500  0.04
Pt 0.250 0.749 0.500  0.04
Pu 0.347 0.347 0.695  5.31
Pu 0.653 0.652 0.305  5.31
Au 0.000 0.000 0.000  0.00


Entry from Alexandria: a relaxed structure of LiSm2Ga4Pd3 (PBE-GGA).

Properties
The total magnetization comes out at 0.0 μB per cell. The value obtained for the total energy is -46.11 eV per cell.

Cell lengths 4.164, 4.164, 11.074 Å; angles 90.00, 90.00, 90.00 degrees
Element x y z (fractional)
Ga 0.500 0.500 0.000
Ga 0.000 0.500 0.365
Ga 0.500 0.000 0.635
Ga 0.000 0.000 0.000
Sm 0.000 0.500 0.758
Sm 0.500 0.000 0.242
Pd 0.500 0.000 0.863
Pd 0.000 0.500 0.137
Pd 0.000 0.000 0.500
Li 0.500 0.500 0.500


Entry from Alexandria: a relaxed structure of BaCeIO6 (PBE-GGA).

Properties
As for the uncorrected formation energy: -1887 meV per atom. The total magnetization comes out at 0.6 μB per cell.

Cell lengths 5.816, 5.816, 5.603 Å; angles 90.00, 90.00, 59.99 degrees
Each line ends with the local moment (μB).
Element x y z (fractional)
O 0.605 0.359 0.700  0.04
O 0.036 0.359 0.300  0.04
O 0.359 0.605 0.300  0.04
O 0.605 0.036 0.300  0.04
O 0.359 0.036 0.700  0.04
O 0.036 0.605 0.700  0.04
Ce 0.667 0.667 0.500  0.15
Ba 0.000 0.000 0.000  0.01
I 0.333 0.333 0.500  0.06